1.
The following is a PBE calculation of a relaxed structure of Pm4Bi3H4, from Alexandria.

Computed properties:
* space-group type: Immm (71)
* raw total energy: -4.538 eV/atom

Lattice parameters (Å, degrees): 4.361 7.705 8.391 117.33 105.06 90.00
Fractional coordinates of all 11 atoms:
Pm  0.500  0.230  0.000
Pm  0.783  0.283  0.566
Pm  0.217  0.717  0.434
Pm  0.500  0.770  0.000
Bi  0.000  0.500  0.000
Bi  0.119  0.119  0.238
Bi  0.881  0.881  0.762
H  0.676  0.496  0.352
H  0.676  0.856  0.352
H  0.324  0.504  0.648
H  0.324  0.144  0.648

2.
The following is a PBE calculation of a relaxed structure of Pm5Bi5H2, from Alexandria.

Computed properties:
* space-group type: C2/m (12)
* raw total energy: -4.717 eV/atom

Lattice parameters (Å, degrees): 4.581 8.626 11.251 120.85 90.00 105.40
Fractional coordinates of all 12 atoms:
Bi  0.500  0.000  0.500
Bi  0.633  0.266  0.986
Bi  0.688  0.375  0.309
Bi  0.312  0.625  0.691
Bi  0.367  0.734  0.014
H  0.004  0.008  0.808
H  0.996  0.992  0.192
Pm  0.000  0.000  0.000
Pm  0.906  0.811  0.592
Pm  0.094  0.189  0.408
Pm  0.281  0.563  0.209
Pm  0.719  0.437  0.791

3.
The following is a PBE calculation of a relaxed structure of Pm4Bi3H2, from Alexandria.

Computed properties:
* space-group type: C2/c (15)
* raw total energy: -4.868 eV/atom

Lattice parameters (Å, degrees): 7.451 8.234 8.234 77.43 81.16 81.16
Fractional coordinates of all 18 atoms:
Pm  0.383  0.606  0.734
Pm  0.617  0.394  0.266
Pm  0.981  0.292  0.926
Pm  0.117  0.266  0.394
Pm  0.519  0.074  0.708
Pm  0.883  0.734  0.606
Pm  0.019  0.708  0.074
Pm  0.481  0.926  0.292
Bi  0.250  0.613  0.387
Bi  0.386  0.267  0.025
Bi  0.750  0.387  0.613
Bi  0.614  0.733  0.975
Bi  0.886  0.025  0.267
Bi  0.114  0.975  0.733
H  0.436  0.168  0.430
H  0.564  0.832  0.570
H  0.064  0.570  0.832
H  0.936  0.430  0.168

4.
The following is a PBE calculation of a relaxed structure of Pm3Bi3H2, from Alexandria.

Computed properties:
* space-group type: Cmcm (63)
* raw total energy: -4.725 eV/atom

Lattice parameters (Å, degrees): 4.177 6.353 15.794 90.00 90.00 109.19
Fractional coordinates of all 16 atoms:
H  0.227  0.455  0.443
H  0.773  0.545  0.557
H  0.227  0.455  0.057
H  0.773  0.545  0.943
Pm  0.656  0.313  0.750
Pm  0.344  0.687  0.250
Pm  0.646  0.292  0.051
Pm  0.354  0.708  0.949
Pm  0.646  0.292  0.449
Pm  0.354  0.708  0.551
Bi  0.064  0.129  0.607
Bi  0.936  0.871  0.107
Bi  0.623  0.247  0.250
Bi  0.936  0.871  0.393
Bi  0.377  0.753  0.750
Bi  0.064  0.129  0.893

5.
The following is a PBE calculation of a relaxed structure of Pm12Bi3H5, from Alexandria.

Computed properties:
* space-group type: Ia-3d (230)
* raw total energy: -4.616 eV/atom

Lattice parameters (Å, degrees): 14.030 14.030 14.030 109.47 109.47 109.47
Fractional coordinates of all 80 atoms:
Pm  0.193  0.097  0.989
Pm  0.108  0.403  0.097
Pm  0.205  0.511  0.608
Pm  0.807  0.903  0.011
Pm  0.108  0.705  0.511
Pm  0.307  0.511  0.403
Pm  0.807  0.903  0.295
Pm  0.705  0.597  0.193
Pm  0.597  0.705  0.693
Pm  0.608  0.011  0.205
Pm  0.205  0.693  0.097
Pm  0.989  0.392  0.295
Pm  0.903  0.097  0.892
Pm  0.903  0.807  0.795
Pm  0.403  0.011  0.307
Pm  0.097  0.193  0.205
Pm  0.011  0.608  0.705
Pm  0.489  0.795  0.892
Pm  0.511  0.307  0.903
Pm  0.795  0.307  0.903
Pm  0.392  0.989  0.795
Pm  0.705  0.108  0.011
Pm  0.403  0.295  0.307
Pm  0.597  0.608  0.403
Pm  0.597  0.892  0.403
Pm  0.903  0.097  0.608
Pm  0.489  0.693  0.097
Pm  0.295  0.892  0.989
Pm  0.403  0.108  0.597
Pm  0.795  0.489  0.392
Pm  0.608  0.597  0.903
Pm  0.892  0.295  0.489
Pm  0.693  0.489  0.597
Pm  0.193  0.097  0.705
Pm  0.097  0.903  0.392
Pm  0.097  0.903  0.108
Pm  0.295  0.403  0.807
Pm  0.511  0.205  0.108
Pm  0.597  0.989  0.693
Pm  0.403  0.392  0.597
Pm  0.892  0.597  0.903
Pm  0.307  0.795  0.403
Pm  0.011  0.403  0.807
Pm  0.693  0.205  0.597
Pm  0.097  0.193  0.489
Pm  0.903  0.807  0.511
Pm  0.392  0.403  0.097
Pm  0.989  0.597  0.193
H  0.000  0.500  0.000
H  0.750  0.625  0.375
H  0.000  0.000  0.500
H  0.875  0.625  0.750
H  0.125  0.375  0.250
H  0.500  0.500  0.500
H  0.875  0.250  0.625
H  0.375  0.250  0.125
H  0.250  0.375  0.625
H  0.625  0.750  0.875
H  0.750  0.125  0.875
H  0.500  0.500  0.000
H  0.375  0.125  0.750
H  0.250  0.875  0.125
H  0.125  0.750  0.375
H  0.000  0.500  0.500
H  0.000  0.000  0.000
H  0.500  0.000  0.000
H  0.625  0.875  0.250
H  0.500  0.000  0.500
Bi  0.750  0.875  0.625
Bi  0.625  0.375  0.750
Bi  0.875  0.750  0.125
Bi  0.375  0.750  0.625
Bi  0.125  0.875  0.750
Bi  0.250  0.625  0.875
Bi  0.375  0.625  0.250
Bi  0.750  0.375  0.125
Bi  0.625  0.250  0.375
Bi  0.250  0.125  0.375
Bi  0.875  0.125  0.250
Bi  0.125  0.250  0.875

6.
The following is a PBE calculation of a relaxed structure of Pm4Bi5H, from Alexandria.

Computed properties:
* space-group type: C2/m (12)
* raw total energy: -4.494 eV/atom

Lattice parameters (Å, degrees): 3.542 9.099 9.751 92.78 100.47 90.00
Fractional coordinates of all 10 atoms:
Pm  0.342  0.914  0.683
Pm  0.985  0.185  0.970
Pm  0.658  0.086  0.317
Pm  0.015  0.815  0.030
Bi  0.183  0.783  0.367
Bi  0.500  0.500  0.000
Bi  0.817  0.217  0.633
Bi  0.859  0.604  0.718
Bi  0.141  0.396  0.282
H  0.500  0.000  0.000

7.
The following is a PBE calculation of a relaxed structure of Pm4Bi3H, from Alexandria.

Computed properties:
* space-group type: Pmn2_1 (31)
* raw total energy: -4.901 eV/atom

Lattice parameters (Å, degrees): 6.388 6.404 12.608 90.00 90.00 90.00
Fractional coordinates of all 16 atoms:
H  0.988  0.185  0.000
H  0.488  0.815  0.500
Bi  0.566  0.262  0.252
Bi  0.066  0.738  0.248
Bi  0.064  0.249  0.500
Bi  0.564  0.751  0.000
Bi  0.566  0.262  0.748
Bi  0.066  0.738  0.752
Pm  0.564  0.160  0.500
Pm  0.565  0.762  0.247
Pm  0.065  0.238  0.747
Pm  0.064  0.840  0.000
Pm  0.138  0.749  0.500
Pm  0.638  0.251  0.000
Pm  0.565  0.762  0.753
Pm  0.065  0.238  0.253

8.
The following is a PBE calculation of a relaxed structure of Pm6Bi2H, from Alexandria.

Computed properties:
* space-group type: P4_2/mnm (136)
* raw total energy: -4.534 eV/atom

Lattice parameters (Å, degrees): 6.546 6.546 14.472 90.00 90.00 90.00
Fractional coordinates of all 18 atoms:
Bi  0.000  0.000  0.308
Bi  0.000  0.000  0.692
Bi  0.500  0.500  0.808
Bi  0.500  0.500  0.192
Pm  0.818  0.182  0.122
Pm  0.182  0.818  0.878
Pm  0.812  0.188  0.500
Pm  0.312  0.312  0.000
Pm  0.182  0.818  0.122
Pm  0.682  0.682  0.378
Pm  0.318  0.318  0.378
Pm  0.818  0.182  0.878
Pm  0.682  0.682  0.622
Pm  0.318  0.318  0.622
Pm  0.688  0.688  0.000
Pm  0.188  0.812  0.500
H  0.500  0.500  0.500
H  0.000  0.000  0.000

9.
The following is a PBE calculation of a relaxed structure of PmBiH, from Alexandria.

Computed properties:
* space-group type: Imm2 (44)
* offset from the most stable computed form: 0.235 eV/atom

Lattice parameters (Å, degrees): 3.770 6.307 6.307 81.30 72.61 72.61
Fractional coordinates of all 6 atoms:
Bi  0.208  0.172  0.411
Bi  0.792  0.589  0.828
H  0.108  0.662  0.123
H  0.892  0.877  0.338
Pm  0.500  0.639  0.361
Pm  0.000  0.027  0.973

10.
The following is a PBE calculation of a relaxed structure of PmBiHPt, from Alexandria.

Computed properties:
* space-group type: F-43m (216)
* raw total energy: -4.978 eV/atom

Lattice parameters (Å, degrees): 4.826 4.826 4.826 60.00 60.00 60.00
Fractional coordinates of all 4 atoms:
Bi  0.000  0.000  0.000
H  0.250  0.250  0.250
Pm  0.500  0.500  0.500
Pt  0.750  0.750  0.750

11.
The following is a PBE calculation of a relaxed structure of PmBiH6Rh3, from Alexandria.

Computed properties:
* space-group type: R3 (146)
* raw total energy: -4.905 eV/atom

Lattice parameters (Å, degrees): 5.080 5.080 5.080 86.31 93.69 86.31
Fractional coordinates of all 11 atoms:
H  0.693  0.491  0.118
H  0.118  0.307  0.509
H  0.509  0.901  0.343
H  0.343  0.491  0.099
H  0.509  0.882  0.693
H  0.099  0.657  0.509
Bi  0.985  0.015  0.985
Rh  0.215  0.973  0.498
Rh  0.498  0.785  0.027
Rh  0.027  0.502  0.215
Pm  0.575  0.425  0.575

12.
The following is a PBE calculation of a relaxed structure of PmBiHRh, from Alexandria.

Computed properties:
* space-group type: P-6m2 (187)
* raw total energy: -5.472 eV/atom

Lattice parameters (Å, degrees): 4.800 4.800 3.677 90.00 90.00 120.00
Fractional coordinates of all 4 atoms:
H  0.239  0.477  0.310
Pm  0.572  0.144  0.309
Bi  0.905  0.811  0.809
Rh  0.239  0.477  0.810

no.,V (Å³ per atom),DOS at the Fermi energy (states/eV per cell)
1,21.775,3.191
2,30.246,4.724
3,26.857,4.881
4,24.739,7.132
5,26.573,70.912
6,30.868,7.668
7,32.239,11.389
8,34.452,23.804
9,22.713,2.185
10,19.867,2.495
11,11.838,3.677
12,18.341,1.627